# 1
Compound: NaPrPbO3
Source: Alexandria via LeMat-Bulk
Functional: PBE
Structure: relaxed

## Properties
Formation energy (no corrections) (eV/atom): -2.038

a b c (Å): 6.3309 3.5819 10.6730
angles (deg): 90.00 94.21 90.00
Space group P2_1/m (No. 11)
One atom of each set of equivalent atoms:
Na: 0.1737 0.2500 0.3000 (multiplicity 2)
Pr: 0.3550 0.2500 0.6150 (multiplicity 2)
Pb: 0.2543 0.7500 0.8957 (multiplicity 2)
O: 0.0956 0.2500 0.7835 (multiplicity 2)
O: 0.3004 0.7500 0.4671 (multiplicity 2)
O: 0.4821 0.7500 0.7519 (multiplicity 2)


# 2
Compound: Na2PrPbO4
Source: Alexandria via LeMat-Bulk
Functional: PBE
Structure: relaxed

## Properties
Formation energy (no corrections) (eV/atom): -1.844

a b c (Å): 6.0596 3.6021 6.1128
angles (deg): 90.00 109.55 90.00
Space group P2/m (No. 10)
One atom of each set of equivalent atoms:
Na: 0.0000 0.0000 0.0000 (multiplicity 1)
Na: 0.0000 0.5000 0.5000 (multiplicity 1)
Pr: 0.5000 0.0000 0.5000 (multiplicity 1)
Pb: 0.5000 0.5000 0.0000 (multiplicity 1)
O: 0.2739 0.0000 0.7630 (multiplicity 2)
O: 0.2764 0.5000 0.2648 (multiplicity 2)


# 3
Compound: Na3Pr3PbO8
Source: Alexandria via LeMat-Bulk
Functional: PBE
Structure: relaxed

## Properties
Formation energy (no corrections) (eV/atom): -2.230

a b c (Å): 7.1840 7.1840 16.8105
angles (deg): 90.00 90.00 120.00
Space group R-3m (No. 166, hexagonal axes)
One atom of each set of equivalent atoms:
Na: 0.0000 0.5000 0.0000 (multiplicity 9)
Pr: 0.0000 0.5000 0.5000 (multiplicity 9)
Pb: 0.0000 0.0000 0.5000 (multiplicity 3)
O: 0.0000 0.0000 0.2368 (multiplicity 6)
O: 0.0252 0.5126 0.2370 (multiplicity 18)


# 4
Compound: NaPt2PbO8
Source: Alexandria via LeMat-Bulk
Functional: PBE
Structure: relaxed

## Properties
Formation energy (no corrections) (eV/atom): -0.187

a b c (Å): 5.5641 5.5641 5.9765
angles (deg): 90.00 90.00 120.00
Space group P-3 (No. 147)
One atom of each set of equivalent atoms:
Na: 0.0000 0.0000 0.0000 (multiplicity 1)
Pt: 0.3333 0.6667 0.9533 (multiplicity 2)
Pb: 0.0000 0.0000 0.5000 (multiplicity 1)
O: 0.0524 0.3831 0.1578 (multiplicity 6)
O: 0.3333 0.6667 0.6321 (multiplicity 2)


# 5
Compound: Na2PtPbO4
Source: Alexandria via LeMat-Bulk
Functional: PBE
Structure: relaxed

## Properties
Formation energy (no corrections) (eV/atom): -1.035

a b c (Å): 5.9728 5.9728 6.6006
angles (deg): 90.00 90.00 90.00
Space group I-4 (No. 82)
One atom of each set of equivalent atoms:
Na: 0.0000 0.0000 0.0000 (multiplicity 2)
Na: 0.0000 0.5000 0.2500 (multiplicity 2)
Pt: 0.0000 0.5000 0.7500 (multiplicity 2)
Pb: 0.0000 0.0000 0.5000 (multiplicity 2)
O: 0.1757 0.2185 0.7432 (multiplicity 8)


# 6
Compound: NaPuPb2O8
Source: Alexandria via LeMat-Bulk
Functional: PBE
Structure: relaxed

## Properties
Formation energy (no corrections) (eV/atom): -1.465

a b c (Å): 5.2256 6.6260 5.2401
angles (deg): 90.00 90.32 90.00
Space group P2/m (No. 10)
One atom of each set of equivalent atoms:
Na: 0.0000 0.0000 0.0000 (multiplicity 1)
Pu: 0.0000 0.5000 0.0000 (multiplicity 1)
Pb: 0.5000 0.2461 0.5000 (multiplicity 2)
O: 0.1826 0.2932 0.1802 (multiplicity 4)
O: 0.3078 0.5000 0.6897 (multiplicity 2)
O: 0.3101 0.0000 0.6868 (multiplicity 2)